YTl5: optimized geometry, PBEsol.

```
data_YTl5
_chemical_formula_sum 'Y2 Tl10'
_cell_length_a 12.055
_cell_length_b 3.584
_cell_length_c 8.007
_cell_angle_alpha 90.00
_cell_angle_beta 110.23
_cell_angle_gamma 90.00
_symmetry_space_group_name_H-M 'C 1 m 1'
_symmetry_Int_Tables_number 8
_symmetry_space_group_name_Hall 'C -2y'
loop_
_atom_site_label
_atom_site_type_symbol
_atom_site_fract_x
_atom_site_fract_y
_atom_site_fract_z
Y1 Y 0.000 0.000 0.000
Tl1 Tl 0.026 0.000 0.586
Tl2 Tl 0.181 0.500 0.345
Tl3 Tl 0.206 0.500 0.931
Tl4 Tl 0.320 0.000 0.682
Tl5 Tl 0.387 0.000 0.243
```

As for the final energy: -3.436 eV/atom. As for the energy above the lowest structure with this stoichiometry: 24 meV/atom. The energy of formation is -0.107 eV per atom. As for the calculated volume: 27.05 Å³ per atom.

Y3Tl: optimized geometry, PBEsol.

```
data_Y3Tl
_chemical_formula_sum 'Y6 Tl2'
_cell_length_a 5.448
_cell_length_b 6.541
_cell_length_c 6.149
_cell_angle_alpha 90.00
_cell_angle_beta 90.00
_cell_angle_gamma 90.00
_symmetry_space_group_name_H-M 'P m m n'
_symmetry_Int_Tables_number 59
loop_
_symmetry_equiv_pos_as_xyz
'x,y,z'
'-x,-y,-z'
'-x+1/2,-y+1/2,z'
'x+1/2,y+1/2,-z'
'x+1/2,-y,-z'
'-x+1/2,y,z'
'-x,y+1/2,-z'
'x,-y+1/2,z'
loop_
_atom_site_label
_atom_site_type_symbol
_atom_site_fract_x
_atom_site_fract_y
_atom_site_fract_z
Y1 Y 0.250 0.005 0.139
Y2 Y 0.250 0.250 0.623
Tl1 Tl 0.250 0.750 0.660
```

As for the final energy: -5.999 eV/atom. The energy of formation is -0.224 eV per atom. As for the calculated volume: 27.39 Å³ per atom.

Y3Tl: optimized geometry, PBEsol.

```
data_Y3Tl
_chemical_formula_sum 'Y3 Tl1'
_cell_length_a 3.563
_cell_length_b 3.563
_cell_length_c 9.046
_cell_angle_alpha 90.00
_cell_angle_beta 90.00
_cell_angle_gamma 90.00
_symmetry_space_group_name_H-M 'P 4/m m m'
_symmetry_Int_Tables_number 123
_symmetry_space_group_name_Hall '-P 4 2'
loop_
_atom_site_label
_atom_site_type_symbol
_atom_site_fract_x
_atom_site_fract_y
_atom_site_fract_z
Y1 Y 0.000 0.000 0.000
Y2 Y 0.500 0.500 0.273
Tl1 Tl 0.000 0.000 0.500
```

As for the final energy: -5.995 eV/atom. The energy of formation is -0.221 eV per atom. As for the calculated volume: 28.71 Å³ per atom.

Q: The lowest energy of formation belongs to which entry?
A: number 2

Repeat the third record exactly.
Y3Tl: optimized geometry, PBEsol.

```
data_Y3Tl
_chemical_formula_sum 'Y3 Tl1'
_cell_length_a 3.563
_cell_length_b 3.563
_cell_length_c 9.046
_cell_angle_alpha 90.00
_cell_angle_beta 90.00
_cell_angle_gamma 90.00
_symmetry_space_group_name_H-M 'P 4/m m m'
_symmetry_Int_Tables_number 123
_symmetry_space_group_name_Hall '-P 4 2'
loop_
_atom_site_label
_atom_site_type_symbol
_atom_site_fract_x
_atom_site_fract_y
_atom_site_fract_z
Y1 Y 0.000 0.000 0.000
Y2 Y 0.500 0.500 0.273
Tl1 Tl 0.000 0.000 0.500
```

As for the final energy: -5.995 eV/atom. The energy of formation is -0.221 eV per atom. As for the calculated volume: 28.71 Å³ per atom.

Copy entry 1 word for word.
YTl5: optimized geometry, PBEsol.

```
data_YTl5
_chemical_formula_sum 'Y2 Tl10'
_cell_length_a 12.055
_cell_length_b 3.584
_cell_length_c 8.007
_cell_angle_alpha 90.00
_cell_angle_beta 110.23
_cell_angle_gamma 90.00
_symmetry_space_group_name_H-M 'C 1 m 1'
_symmetry_Int_Tables_number 8
_symmetry_space_group_name_Hall 'C -2y'
loop_
_atom_site_label
_atom_site_type_symbol
_atom_site_fract_x
_atom_site_fract_y
_atom_site_fract_z
Y1 Y 0.000 0.000 0.000
Tl1 Tl 0.026 0.000 0.586
Tl2 Tl 0.181 0.500 0.345
Tl3 Tl 0.206 0.500 0.931
Tl4 Tl 0.320 0.000 0.682
Tl5 Tl 0.387 0.000 0.243
```

As for the final energy: -3.436 eV/atom. As for the energy above the lowest structure with this stoichiometry: 24 meV/atom. The energy of formation is -0.107 eV per atom. As for the calculated volume: 27.05 Å³ per atom.

Q: Which of these has the highest final energy?
A: YTl5